ZrGaF2: optimized geometry, PBE-GGA.

* E_form (uncorrected): -5.13 eV per formula unit
* spin magnetization: 0.90 μB per cell
* Fermi-level density of states: 0.852 states/eV per atom
* symmetry: Fm-3m
* excess energy over the best structure of this formula in the dataset: 62.1 kJ per mole of atoms

Lattice parameters (Å, degrees): 4.3226 4.3226 4.3226 60.00 60.00 60.00
Last column: nearest neighbours and their distance in Å.
Sites, in units of the cell vectors:
1 Ga 0.0000 0.0000 0.0000  8 F 2.65
2 Zr 0.5000 0.5000 0.5000  8 F 2.65
3 F 0.2500 0.2500 0.2500  4 Zr 2.65, 4 Ga 2.65
4 F 0.7500 0.7500 0.7500  4 Ga 2.65, 4 Zr 2.65